Computed, not measured: a geometry-optimized LiTmSn2 structure at the PBE-GGA level of DFT.

Computed properties:
Volume, Å³ per cell: 185
DFT formation energy, eV per atom: -0.369
Relative energy among the computed polymorphs, meV per atom: 155

The structure in extended XYZ format:
```
8
Lattice="-7.976 5.437 2.200 5.561 -5.888 -5.694 -1.953 -3.600 1.815" Properties=species:S:1:pos:R:3 pbc="T T T"
Li -4.993 -0.984 0.968
Li 0.625 -3.067 -2.647
Tm -8.030 1.556 2.738
Tm 3.661 -5.607 -4.417
Sn -3.277 -2.420 -0.033
Sn -1.091 -1.632 -1.646
Sn 0.673 -5.724 -2.337
Sn -5.041 1.673 0.657
```